1.
The following is a PBE calculation of a relaxed Cs2U2CoS6 crystal, from the Alexandria database.

## Properties
Spin magnetization (μB/cell): 5.2
Uncorrected formation energy (eV/f.u.): -12.25
DFT total energy (eV per formula unit): -68.40
DOS(E_F) (states/eV per atom): 1.92

a = 6.668 Å, b = 6.668 Å, c = 8.562 Å
α = 97.39°, β = 97.39°, γ = 119.77°
Sites, in units of the cell vectors:
S1 0.618 0.942 0.327
S2 0.942 0.618 0.327
S3 0.736 0.736 0.671
S4 0.264 0.264 0.329
S5 0.058 0.382 0.673
S6 0.382 0.058 0.673
Co1 0.000 0.000 0.500
Cs1 0.166 0.834 0.000
Cs2 0.834 0.166 0.000
U1 0.334 0.666 0.500
U2 0.666 0.334 0.500

=====

2.
The following is a PBE calculation of a relaxed CsUCoS3 crystal, from the Alexandria database.

## Properties
Spin magnetization (μB/cell): 5.6
Uncorrected formation energy (eV/f.u.): -6.79
DFT total energy (eV per formula unit): -38.41
DOS(E_F) (states/eV per atom): 1.07

a = 3.864 Å, b = 9.481 Å, c = 9.565 Å
α = 114.27°, β = 90.00°, γ = 90.00°
Sites, in units of the cell vectors:
Cs1 0.750 0.788 0.750
Cs2 0.250 0.212 0.250
U1 0.250 0.681 0.161
U2 0.750 0.319 0.839
S1 0.750 0.870 0.152
S2 0.750 0.473 0.152
S3 0.250 0.826 0.462
S4 0.250 0.527 0.848
S5 0.750 0.174 0.538
S6 0.250 0.130 0.848
Co1 0.250 0.081 0.593
Co2 0.750 0.919 0.407

=====

3.
The following is a PBE calculation of a relaxed Cs2UCoS5 crystal, from the Alexandria database.

## Properties
Spin magnetization (μB/cell): 2.0
Uncorrected formation energy (eV/f.u.): -9.01
DFT total energy (eV per formula unit): -49.75
DOS(E_F) (states/eV per atom): 0.52

a = 3.993 Å, b = 10.343 Å, c = 14.552 Å
α = 90.00°, β = 90.00°, γ = 101.13°
Sites, in units of the cell vectors:
S1 0.929 0.858 0.484
S2 0.682 0.364 0.512
S3 0.309 0.619 0.638
S4 0.695 0.390 0.900
S5 0.518 0.036 0.819
S6 0.305 0.610 0.400
S7 0.691 0.381 0.138
S8 0.071 0.142 0.984
S9 0.482 0.964 0.319
S10 0.318 0.636 0.012
Co1 0.412 0.823 0.424
Co2 0.588 0.177 0.924
U1 0.198 0.395 0.020
U2 0.802 0.605 0.520
Cs1 0.130 0.260 0.696
Cs2 0.870 0.740 0.196
Cs3 0.123 0.245 0.331
Cs4 0.877 0.755 0.831

=====

4.
The following is a PBE calculation of a relaxed Cs2UCo2S4 crystal, from the Alexandria database.

## Properties
Spin magnetization (μB/cell): 1.3
Uncorrected formation energy (eV/f.u.): -8.53
DFT total energy (eV per formula unit): -52.25
DOS(E_F) (states/eV per atom): 1.13

a = 3.849 Å, b = 7.324 Å, c = 8.236 Å
α = 107.45°, β = 90.00°, γ = 105.23°
Sites, in units of the cell vectors:
S1 0.804 0.608 0.865
S2 0.528 0.056 0.792
S3 0.196 0.392 0.135
S4 0.472 0.944 0.208
Co1 0.684 0.368 0.989
Co2 0.316 0.632 0.011
Cs1 0.141 0.283 0.565
Cs2 0.859 0.717 0.435
U1 0.000 0.000 0.000

=====

5.
The following is a PBE calculation of a relaxed Cs2VCoS4 crystal, from the Alexandria database.

## Properties
Spin magnetization (μB/cell): 4.0
Uncorrected formation energy (eV/f.u.): -8.40
DFT total energy (eV per formula unit): -42.84
DOS(E_F) (states/eV per atom): 0.36

a = 5.471 Å, b = 7.570 Å, c = 12.863 Å
α = 85.59°, β = 77.72°, γ = 68.82°
Sites, in units of the cell vectors:
S1 0.207 0.175 0.902
S2 0.466 0.675 0.402
S3 0.131 0.325 0.402
S4 0.891 0.825 0.902
S5 0.619 0.175 0.098
S6 0.284 0.825 0.098
S7 0.543 0.325 0.598
S8 0.859 0.675 0.598
Cs1 0.175 0.000 0.649
Cs2 0.925 0.500 0.149
Cs3 0.825 0.000 0.351
Cs4 0.575 0.500 0.851
Co1 0.500 0.000 0.000
Co2 0.250 0.500 0.500
V1 0.000 0.000 0.000
V2 0.750 0.500 0.500

=====

6.
The following is a PBE calculation of a relaxed CsCoW2S8 crystal, from the Alexandria database.

## Properties
Spin magnetization (μB/cell): 0.0
Uncorrected formation energy (eV/f.u.): -5.48
DFT total energy (eV per formula unit): -72.36

a = 6.159 Å, b = 6.159 Å, c = 10.391 Å
α = 72.76°, β = 72.76°, γ = 60.00°
Sites, in units of the cell vectors:
Cs1 0.500 0.500 0.500
S1 0.809 0.809 0.573
S2 0.350 0.749 0.861
S3 0.960 0.650 0.139
S4 0.251 0.960 0.139
S5 0.040 0.350 0.861
S6 0.191 0.191 0.427
S7 0.650 0.251 0.139
S8 0.749 0.040 0.861
W1 0.734 0.734 0.797
W2 0.266 0.266 0.203
Co1 0.000 0.000 0.000